1.
Below is an optimized crystal structure of BeCrTc2Ag, with properties calculated at the PBE level.

Lattice parameters (Å, degrees): 4.3675 4.3675 4.8091 90.00 90.00 90.00
With the nearest neighbours (Å) after each atom.
Atoms (fractional coordinates):
Be 0.0000 0.0000 0.0000  4 Ag 3.09, 8 Tc 3.25
Cr 0.5000 0.5000 0.5000  4 Tc 2.18, 2 Ag 2.40
Tc 0.0000 0.5000 0.5000  2 Cr 2.18
Tc 0.5000 0.0000 0.5000  2 Cr 2.18
Ag 0.5000 0.5000 0.0000  2 Cr 2.40

Space group: P4/mmm, No. 123
D(E_F), states/eV/f.u.: 4.1
Mass density, g/cm³: 6.6
Energy of formation from the pure elements, eV/atom: 1.550

=====

2.
Below is an optimized crystal structure of Nd4Zn2CdCu, with properties calculated at the PBE level.

Lattice parameters (Å, degrees): 9.0721 9.0721 9.0721 33.64 33.64 33.64
With the nearest neighbours (Å) after each atom.
Atoms (fractional coordinates):
Nd 0.1190 0.1190 0.1190  1 Cu 3.05, 4 Zn 3.13-3.23, 3 Cd 3.27
Nd 0.3698 0.3698 0.3698  3 Cu 3.17, 4 Zn 3.21-3.31, 1 Cd 3.34
Nd 0.6302 0.6302 0.6302  3 Cu 3.17, 4 Zn 3.21-3.31, 1 Cd 3.34
Nd 0.8810 0.8810 0.8810  1 Cu 3.05, 4 Zn 3.13-3.23, 3 Cd 3.27
Zn 0.2448 0.2448 0.2448  8 Nd 3.13-3.31
Zn 0.7552 0.7552 0.7552  8 Nd 3.13-3.31
Cd 0.5000 0.5000 0.5000  8 Nd 3.27-3.34, 6 Zn 3.63
Cu 0.0000 0.0000 0.0000  8 Nd 3.05-3.17

Space group: R-3m, No. 166
D(E_F), states/eV/f.u.: 8.2
Mass density, g/cm³: 7.2
Energy of formation from the pure elements, eV/atom: -0.260

=====

3.
Below is an optimized crystal structure of FeIr2Se, with properties calculated at the PBE level.

Lattice parameters (Å, degrees): 2.8594 4.5488 9.1444 90.00 90.00 90.00
With the nearest neighbours (Å) after each atom.
Atoms (fractional coordinates):
Fe 0.0000 0.0000 0.0000  4 Se 2.69, 4 Ir 2.82, 2 Fe 2.86
Fe 0.5000 0.5000 0.5000  4 Se 2.69, 4 Ir 2.82, 2 Fe 2.86
Ir 0.0000 0.5000 0.2344  2 Se 2.58, 6 Ir 2.70-2.86, 2 Fe 2.82
Ir 0.0000 0.5000 0.7656  2 Se 2.58, 6 Ir 2.70-2.86, 2 Fe 2.82
Ir 0.5000 0.0000 0.2656  2 Se 2.58, 6 Ir 2.70-2.86, 2 Fe 2.82
Ir 0.5000 0.0000 0.7344  2 Se 2.58, 6 Ir 2.70-2.86, 2 Fe 2.82
Se 0.0000 0.0000 0.5000  4 Ir 2.58, 4 Fe 2.69, 2 Se 2.86
Se 0.5000 0.5000 0.0000  4 Ir 2.58, 4 Fe 2.69, 2 Se 2.86

Space group: Immm, No. 71
D(E_F), states/eV/f.u.: 3.2
Mass density, g/cm³: 14.5
Raw formation energy, eV per atom: 0.329

=====

4.
Below is an optimized crystal structure of Sc3Te3S, with properties calculated at the PBE level.

Lattice parameters (Å, degrees): 9.1841 9.1841 5.8533 90.00 90.00 119.93
With the nearest neighbours (Å) after each atom.
Atoms (fractional coordinates):
Sc 0.1773 0.3539 0.7500  1 S 2.49
Sc 0.1765 0.8235 0.7500  1 S 2.49
Sc 0.3539 0.1773 0.2500  1 S 2.49
Sc 0.6461 0.8227 0.7500  1 S 2.49
Sc 0.8235 0.1765 0.2500  1 S 2.49
Sc 0.8227 0.6461 0.2500  1 S 2.49
Te 0.1820 0.8180 0.2500  4 Sc 2.86-2.93
Te 0.1829 0.3650 0.2500  4 Sc 2.85-2.93
Te 0.3650 0.1829 0.7500  4 Sc 2.85-2.93
Te 0.6350 0.8171 0.2500  4 Sc 2.85-2.93
Te 0.8171 0.6350 0.7500  4 Sc 2.85-2.93
Te 0.8180 0.1820 0.7500  4 Sc 2.86-2.93
S 0.3331 0.6669 0.7500  3 Sc 2.49
S 0.6669 0.3331 0.2500  3 Sc 2.49

Space group: Cmcm, No. 63
D(E_F), states/eV/f.u.: 3.9
Mass density, g/cm³: 4.3
Energy above the lowest structure with this stoichiometry, meV per atom: 138
Raw formation energy, eV per atom: -1.211

=====

5.
Below is an optimized crystal structure of Cs6HgAu2O, with properties calculated at the PBE level.

Lattice parameters (Å, degrees): 8.4818 12.8960 10.4649 90.00 90.00 90.00
With the nearest neighbours (Å) after each atom.
Atoms (fractional coordinates):
Cs 0.0063 0.2500 0.1430  1 O 2.86
Cs 0.0198 0.7500 0.4694  1 O 2.94
Cs 0.2500 0.5262 0.6896  1 O 2.89
Cs 0.2500 0.9738 0.6896  1 O 2.89
Cs 0.4802 0.7500 0.4694  1 O 2.94
Cs 0.4937 0.2500 0.1430  1 O 2.86
Cs 0.5063 0.7500 0.8570  1 O 2.86
Cs 0.5198 0.2500 0.5306  1 O 2.94
Cs 0.7500 0.0262 0.3104  1 O 2.89
Cs 0.7500 0.4738 0.3104  1 O 2.89
Cs 0.9802 0.2500 0.5306  1 O 2.94
Cs 0.9937 0.7500 0.8570  1 O 2.86
Hg 0.2500 0.2500 0.8352  6 Cs 3.83-3.92
Hg 0.7500 0.7500 0.1648  6 Cs 3.83-3.92
Au 0.2500 0.0657 0.3631  5 Cs 3.62-3.90
Au 0.2500 0.4343 0.3631  5 Cs 3.62-3.90
Au 0.7500 0.5657 0.6369  5 Cs 3.62-3.90
Au 0.7500 0.9343 0.6369  5 Cs 3.62-3.90
O 0.2500 0.7500 0.6794  6 Cs 2.86-2.94
O 0.7500 0.2500 0.3206  6 Cs 2.86-2.94

Space group: Pmmn, No. 59
D(E_F), states/eV/f.u.: 6.7
Mass density, g/cm³: 4.1
Raw formation energy, eV per atom: -0.411

=====

6.
Below is an optimized crystal structure of CePrOs, with properties calculated at the PBE level.

Lattice parameters (Å, degrees): 4.4442 4.4442 4.7302 90.00 90.00 120.00
With the nearest neighbours (Å) after each atom.
Atoms (fractional coordinates):
Ce 0.0000 0.0000 0.0000  3 Os 2.59
Pr 0.3333 0.6667 0.4893  3 Os 3.30, 6 Ce 3.46-3.52
Os 0.6667 0.3333 0.9271  3 Ce 2.59

Space group: P3m1, No. 156
D(E_F), states/eV/f.u.: 2.9
Mass density, g/cm³: 9.7
Energy above the lowest structure with this stoichiometry, meV per atom: 132
Energy of formation from the pure elements, eV/atom: 0.043

=====

7.
Below is an optimized crystal structure of CuSi2P, with properties calculated at the PBE level.

Lattice parameters (Å, degrees): 2.5436 2.5436 8.6778 90.00 90.00 90.00
With the nearest neighbours (Å) after each atom.
Atoms (fractional coordinates):
Cu 0.0000 0.0000 0.0000  4 Cu 2.54, 8 Si 2.64
Si 0.5000 0.5000 0.2221  4 Si 2.54, 4 Cu 2.64
Si 0.5000 0.5000 0.7779  4 Si 2.54, 4 Cu 2.64
P 0.0000 0.0000 0.5000  4 P 2.54

Space group: P4/mmm, No. 123
D(E_F), states/eV/f.u.: 1.5
Mass density, g/cm³: 4.5
Raw formation energy, eV per atom: 0.390

=====

8.
Below is an optimized crystal structure of MgCu4Se8, with properties calculated at the PBE level.

Lattice parameters (Å, degrees): 8.0813 8.0813 8.0814 95.35 95.35 144.34
With the nearest neighbours (Å) after each atom.
Atoms (fractional coordinates):
Mg 0.0000 0.0000 0.0000  4 Se 2.69
Cu 0.2623 0.5004 0.7620  4 Se 2.44-2.48
Cu 0.5004 0.2623 0.7620  4 Se 2.44-2.48
Cu 0.4996 0.7377 0.2380  4 Se 2.44-2.48
Cu 0.7377 0.4996 0.2380  4 Se 2.44-2.48
Se 0.0005 0.7530 0.7526  2 Cu 2.48, 1 Mg 2.69
Se 0.2470 0.9995 0.2474  2 Cu 2.48, 1 Mg 2.69
Se 0.2763 0.7237 0.0000  2 Cu 2.44, 2 Se 2.60
Se 0.2770 0.2770 0.5527  2 Cu 2.44, 2 Se 2.60-2.61
Se 0.7230 0.7230 0.4473  2 Cu 2.44, 2 Se 2.60-2.61
Se 0.7237 0.2763 0.0000  2 Cu 2.44, 2 Se 2.60
Se 0.7530 0.0005 0.7526  2 Cu 2.48, 1 Mg 2.69
Se 0.9995 0.2470 0.2474  2 Cu 2.48, 1 Mg 2.69

Space group: C2/m, No. 12
D(E_F), states/eV/f.u.: 4.3
Mass density, g/cm³: 5.2
Energy above the lowest structure with this stoichiometry, meV per atom: 0
Raw formation energy, eV per atom: -0.056

=====

9.
Below is an optimized crystal structure of Pm4Nd8Er, with properties calculated at the PBE level.

Lattice parameters (Å, degrees): 10.5506 10.5506 10.5506 41.12 41.12 41.12
With the nearest neighbours (Å) after each atom.
Atoms (fractional coordinates):
Pm 0.0000 0.0000 0.0000  6 Nd 3.45, 6 Pm 3.71
Pm 0.0000 0.5000 0.5000  4 Nd 3.64, 6 Pm 3.71
Pm 0.5000 0.0000 0.5000  4 Nd 3.64, 6 Pm 3.71
Pm 0.5000 0.5000 0.0000  4 Nd 3.64, 6 Pm 3.71
Nd 0.2019 0.7507 0.7507  1 Er 3.06, 2 Nd 3.34
Nd 0.2129 0.2129 0.2129  9 Nd 3.76-3.82, 3 Pm 4.09
Nd 0.2493 0.2493 0.7981  1 Er 3.06, 2 Nd 3.34
Nd 0.2493 0.7981 0.2493  1 Er 3.06, 2 Nd 3.34
Nd 0.7507 0.2019 0.7507  1 Er 3.06, 2 Nd 3.34
Nd 0.7507 0.7507 0.2019  1 Er 3.06, 2 Nd 3.34
Nd 0.7871 0.7871 0.7871  9 Nd 3.76-3.82, 3 Pm 4.09
Nd 0.7981 0.2493 0.2493  1 Er 3.06, 2 Nd 3.34
Er 0.5000 0.5000 0.5000  6 Nd 3.06

Space group: R-3m, No. 166
D(E_F), states/eV/f.u.: 12.6
Mass density, g/cm³: 6.9
Energy of formation from the pure elements, eV/atom: 0.183

=====

10.
Below is an optimized crystal structure of KPu3Hg2Cl12, with properties calculated at the PBE level.

Lattice parameters (Å, degrees): 9.2328 9.2328 9.2328 68.49 68.49 68.49
With the nearest neighbours (Å) after each atom.
Atoms (fractional coordinates):
K 0.0000 0.0000 0.0000  6 Cl 3.43
Pu 0.0000 0.0000 0.5000  6 Cl 2.54-2.71
Pu 0.0000 0.5000 0.0000  6 Cl 2.54-2.71
Pu 0.5000 0.0000 0.0000  6 Cl 2.54-2.71
Hg 0.4207 0.4207 0.4207  1 Hg 3.34
Hg 0.5793 0.5793 0.5793  1 Hg 3.34
Cl 0.0932 0.7267 0.7267  2 Pu 2.71
Cl 0.1352 0.1352 0.5886  1 Pu 2.54
Cl 0.1352 0.5886 0.1352  1 Pu 2.54
Cl 0.2733 0.2733 0.9068  2 Pu 2.71
Cl 0.2733 0.9068 0.2733  2 Pu 2.71
Cl 0.4114 0.8648 0.8648  1 Pu 2.54
Cl 0.5886 0.1352 0.1352  1 Pu 2.54
Cl 0.7267 0.0932 0.7267  2 Pu 2.71
Cl 0.7267 0.7267 0.0932  2 Pu 2.71
Cl 0.8648 0.4114 0.8648  1 Pu 2.54
Cl 0.8648 0.8648 0.4114  1 Pu 2.54
Cl 0.9068 0.2733 0.2733  2 Pu 2.71

Space group: R-3m, No. 166
D(E_F), states/eV/f.u.: 28.1
Mass density, g/cm³: 4.0
Raw formation energy, eV per atom: -1.543